1.
Entry from Alexandria: a relaxed K2CClO crystal (PBE).

## Properties
**Crystal system**: tetragonal
**DOS(E_F)**: 2.04 states/eV/f.u.
**Formation energy from raw total energies**: -0.180 eV/atom
**E_tot**: -19.1 eV/cell

a = 5.657 Å, b = 3.315 Å, c = 5.657 Å
α = 90.00°, β = 90.00°, γ = 90.00°
Atoms (fractional coordinates):
C1 0.000 0.000 0.000
K1 0.000 0.000 0.500
K2 0.500 0.000 0.000
Cl1 0.500 0.500 0.500
O1 0.000 0.500 0.000

=====

2.
Entry from Alexandria: a relaxed KP2CCl crystal (PBE).

## Properties
**Crystal system**: tetragonal
**DOS(E_F)**: 15.43 states/eV/f.u.
**Formation energy from raw total energies**: 2.363 eV/atom
**E_tot**: -11.2 eV/cell
**Offset from the most stable computed form**: 1.932 eV per atom

a = 7.500 Å, b = 7.500 Å, c = 5.745 Å
α = 90.00°, β = 90.00°, γ = 90.00°
Last column: magnetic moment on the atom in μB.
Atoms (fractional coordinates):
P1 0.500 0.000 0.000  1.20
P2 0.000 0.500 0.000  1.20
Cl1 0.000 0.000 0.500  -0.02
C1 0.500 0.500 0.500  1.00
K1 0.000 0.000 0.000  0.01

=====

3.
Entry from Alexandria: a relaxed KP2CCl crystal (PBE).

## Properties
**Crystal system**: tetragonal
**DOS(E_F)**: 2.88 states/eV/f.u.
**Formation energy from raw total energies**: 0.430 eV/atom
**E_tot**: -20.8 eV/cell
**Offset from the most stable computed form**: 0.000 eV per atom

a = 3.930 Å, b = 3.930 Å, c = 8.614 Å
α = 90.00°, β = 90.00°, γ = 90.00°
Atoms (fractional coordinates):
P1 0.500 0.000 0.000
P2 0.000 0.500 0.000
C1 0.000 0.000 0.000
K1 0.500 0.500 0.500
Cl1 0.000 0.000 0.500

=====

4.
Entry from Alexandria: a relaxed KPCCl2 crystal (PBE).

## Properties
**Crystal system**: tetragonal
**DOS(E_F)**: 3.96 states/eV/f.u.
**Formation energy from raw total energies**: 0.236 eV/atom
**E_tot**: -18.2 eV/cell
**Offset from the most stable computed form**: 0.000 eV per atom

a = 5.636 Å, b = 5.636 Å, c = 3.503 Å
α = 90.00°, β = 90.00°, γ = 90.00°
Last column: magnetic moment on the atom in μB.
Atoms (fractional coordinates):
C1 0.000 0.000 0.000  -0.02
Cl1 0.500 0.000 0.000  0.03
Cl2 0.000 0.500 0.000  0.03
P1 0.000 0.000 0.500  0.10
K1 0.500 0.500 0.500  0.00

=====

5.
Entry from Alexandria: a relaxed KPCCl2 crystal (PBE).

## Properties
**Crystal system**: tetragonal
**DOS(E_F)**: 15.77 states/eV/f.u.
**Formation energy from raw total energies**: 1.753 eV/atom
**E_tot**: -10.7 eV/cell
**Offset from the most stable computed form**: 1.518 eV per atom

a = 5.934 Å, b = 5.934 Å, c = 6.720 Å
α = 90.00°, β = 90.00°, γ = 90.00°
Last column: magnetic moment on the atom in μB.
Atoms (fractional coordinates):
P1 0.000 0.000 0.500  1.17
Cl1 0.000 0.500 0.000  -0.01
Cl2 0.500 0.000 0.000  -0.01
K1 0.000 0.000 0.000  0.01
C1 0.500 0.500 0.500  0.91

=====

6.
Entry from Alexandria: a relaxed KRb2CCl crystal (PBE).

## Properties
**Crystal system**: tetragonal
**DOS(E_F)**: 1.34 states/eV/f.u.
**Formation energy from raw total energies**: 0.511 eV/atom
**E_tot**: -11.5 eV/cell

a = 5.718 Å, b = 9.112 Å, c = 5.718 Å
α = 90.00°, β = 90.00°, γ = 90.00°
Last column: magnetic moment on the atom in μB.
Atoms (fractional coordinates):
C1 0.000 0.000 0.000  1.09
Rb1 0.000 0.000 0.500  0.04
Rb2 0.500 0.000 0.000  0.03
K1 0.500 0.500 0.500  -0.01
Cl1 0.000 0.500 0.000  0.00

=====

Short version: total moment = 0.00; 7.88; 0.00; 0.25; 4.54; 2.12 μB per formula unit, in the order given.